Record 1
The following is a DFT calculation (PBE) of crystalline Pu2Zn3Ga4Pd at its relaxed geometry.

Values from the calculation:
Its space group is P-4m2. As for the volume: 18.9 Å³ per atom. As for the calculated formation energy: -3.2 eV/f.u. The value obtained for the density of states at the Fermi level is 26.07 states/eV per cell. As for the mass density: 9.41 g/cm³. As for the calculated total energy: -52.99 eV/cell.

Unit cell a=4.2167 b=4.2167 c=10.6159 alpha=90.00 beta=90.00 gamma=90.00
Sites, in units of the cell vectors:
Ga  0.0000  0.5000  0.3651
Pd  0.5000  0.5000  0.5000
Pu  0.5000  0.0000  0.2516
Ga  0.5000  0.5000  0.0000
Zn  0.0000  0.5000  0.1359
Ga  0.5000  0.0000  0.6349
Zn  0.5000  0.0000  0.8641
Zn  0.0000  0.0000  0.5000
Ga  0.0000  0.0000  0.0000
Pu  0.0000  0.5000  0.7484

=====

Record 2
The following is a DFT calculation (PBE) of crystalline PuZnGaPd at its relaxed geometry.

Values from the calculation:
Its space group is F-43m. As for the volume: 19.0 Å³ per atom. As for the calculated formation energy: -1.1 eV/f.u. The value obtained for the density of states at the Fermi level is 8.49 states/eV per cell. As for the mass density: 10.62 g/cm³. As for the calculated total energy: -24.96 eV/cell.

Unit cell a=4.7523 b=4.7523 c=4.7523 alpha=60.00 beta=60.00 gamma=60.00
Sites, in units of the cell vectors:
Ga  0.5000  0.5000  0.5000
Zn  0.7500  0.7500  0.7500
Pu  0.2500  0.2500  0.2500
Pd  0.0000  0.0000  0.0000

=====

Record 3
The following is a DFT calculation (PBE) of crystalline Pu2Zn4Ga3Pd at its relaxed geometry.

Values from the calculation:
Its space group is P-4m2. As for the volume: 18.8 Å³ per atom. As for the calculated formation energy: -2.8 eV/f.u. The value obtained for the density of states at the Fermi level is 25.13 states/eV per cell. As for the mass density: 9.40 g/cm³. As for the calculated total energy: -50.83 eV/cell.

Unit cell a=4.1966 b=4.1966 c=10.6893 alpha=90.00 beta=90.00 gamma=90.00
Sites, in units of the cell vectors:
Zn  0.0000  0.0000  0.0000
Pu  0.0000  0.5000  0.7460
Pd  0.5000  0.5000  0.5000
Zn  0.0000  0.5000  0.3640
Ga  0.0000  0.5000  0.1362
Zn  0.5000  0.0000  0.6360
Pu  0.5000  0.0000  0.2540
Ga  0.0000  0.0000  0.5000
Ga  0.5000  0.0000  0.8638
Zn  0.5000  0.5000  0.0000

=====

Record 4
The following is a DFT calculation (PBE) of crystalline Pu2ZnGa4Pd3 at its relaxed geometry.

Values from the calculation:
Its space group is P-4m2. As for the volume: 19.0 Å³ per atom. As for the calculated formation energy: -5.0 eV/f.u. The value obtained for the density of states at the Fermi level is 27.48 states/eV per cell. As for the mass density: 10.05 g/cm³. As for the calculated total energy: -62.65 eV/cell.

Unit cell a=4.1058 b=4.1058 c=11.2878 alpha=90.00 beta=90.00 gamma=90.00
Sites, in units of the cell vectors:
Pu  0.5000  0.0000  0.2479
Pd  0.0000  0.5000  0.1397
Ga  0.0000  0.0000  0.0000
Pu  0.0000  0.5000  0.7521
Ga  0.5000  0.0000  0.6372
Pd  0.5000  0.0000  0.8603
Pd  0.0000  0.0000  0.5000
Ga  0.0000  0.5000  0.3628
Ga  0.5000  0.5000  0.0000
Zn  0.5000  0.5000  0.5000

=====

Record 5
The following is a DFT calculation (PBE) of crystalline PuZn8Ga2Pd at its relaxed geometry.

Values from the calculation:
Its space group is C2/m. As for the volume: 17.3 Å³ per atom. As for the calculated formation energy: -1.5 eV/f.u. The value obtained for the density of states at the Fermi level is 11.82 states/eV per cell. As for the mass density: 8.10 g/cm³. As for the calculated total energy: -37.23 eV/cell.

Unit cell a=4.5774 b=4.5774 c=11.1616 alpha=100.01 beta=100.01 gamma=65.21
Sites, in units of the cell vectors:
Pd  0.0000  0.0000  0.0000
Zn  0.3309  0.3309  0.9636
Zn  0.2648  0.2648  0.3398
Zn  0.7352  0.7352  0.6602
Zn  0.6952  0.1878  0.1930
Ga  0.3676  0.3676  0.6198
Zn  0.6691  0.6691  0.0364
Pu  0.0000  0.0000  0.5000
Ga  0.6324  0.6324  0.3802
Zn  0.1878  0.6952  0.1930
Zn  0.3048  0.8122  0.8070
Zn  0.8122  0.3048  0.8070

=====

Record 6
The following is a DFT calculation (PBE) of crystalline Pu2ZnGa3Pd4 at its relaxed geometry.

Values from the calculation:
Its space group is P-4m2. As for the volume: 18.9 Å³ per atom. As for the calculated formation energy: -5.6 eV/f.u. The value obtained for the density of states at the Fermi level is 26.55 states/eV per cell. As for the mass density: 10.42 g/cm³. As for the calculated total energy: -65.37 eV/cell.

Unit cell a=4.1271 b=4.1271 c=11.1187 alpha=90.00 beta=90.00 gamma=90.00
Sites, in units of the cell vectors:
Pd  0.5000  0.0000  0.6413
Pd  0.5000  0.5000  0.0000
Ga  0.5000  0.0000  0.8671
Pu  0.5000  0.0000  0.2540
Pd  0.0000  0.5000  0.3587
Pd  0.0000  0.0000  0.0000
Pu  0.0000  0.5000  0.7460
Ga  0.0000  0.5000  0.1329
Ga  0.0000  0.0000  0.5000
Zn  0.5000  0.5000  0.5000

=====

Record 7
The following is a DFT calculation (PBE) of crystalline PuZrGa2Pd2 at its relaxed geometry.

Values from the calculation:
Its space group is P-3m1. As for the volume: 19.0 Å³ per atom. As for the calculated formation energy: -3.8 eV/f.u. The value obtained for the density of states at the Fermi level is 10.94 states/eV per cell. As for the mass density: 10.00 g/cm³. As for the calculated total energy: -43.16 eV/cell.

Unit cell a=4.5193 b=4.5193 c=6.4539 alpha=90.00 beta=90.00 gamma=120.00
Sites, in units of the cell vectors:
Pd  0.3333  0.6667  0.2853
Pu  0.0000  0.0000  0.0000
Zr  0.0000  0.0000  0.5000
Pd  0.6667  0.3333  0.7147
Ga  0.3333  0.6667  0.7210
Ga  0.6667  0.3333  0.2790

=====

Record 8
The following is a DFT calculation (PBE) of crystalline RbGa9Pd2 at its relaxed geometry.

Values from the calculation:
Its space group is I4_1/amd. As for the volume: 19.1 Å³ per atom. As for the calculated formation energy: -2.8 eV/f.u. The value obtained for the density of states at the Fermi level is 9.69 states/eV per cell. As for the mass density: 6.71 g/cm³. As for the calculated total energy: -82.82 eV/cell.

Unit cell a=7.7452 b=8.6120 c=8.6120 alpha=78.33 beta=63.28 gamma=63.28
Sites, in units of the cell vectors:
Rb  0.2500  0.5000  0.5000
Ga  0.7379  0.8236  0.5801
Ga  0.3115  0.6764  0.0801
Pd  0.8750  0.2500  0.7500
Ga  0.1416  0.1764  0.4199
Ga  0.7500  0.5000  0.5000
Ga  0.6084  0.0801  0.3236
Ga  0.7379  0.5801  0.8236
Ga  0.4385  0.8236  0.4199
Pd  0.8750  0.7500  0.2500
Ga  0.6820  0.1764  0.5801
Ga  0.0121  0.6764  0.9199
Pd  0.8750  0.2500  0.2500
Ga  0.1416  0.4199  0.1764
Ga  0.0680  0.9199  0.3236
Ga  0.6820  0.5801  0.1764
Ga  0.6084  0.3236  0.0801
Ga  0.3115  0.0801  0.6764
Pd  0.3750  0.7500  0.7500
Ga  0.0680  0.3236  0.9199
Rb  0.5000  0.0000  0.0000
Ga  0.4385  0.4199  0.8236
Ga  0.0000  0.0000  0.0000
Ga  0.0121  0.9199  0.6764

=====

Record 9
The following is a DFT calculation (PBE) of crystalline Rb2Ga2Pd at its relaxed geometry.

Values from the calculation:
Its space group is P4/mbm. As for the volume: 28.4 Å³ per atom. As for the calculated formation energy: -0.1 eV/f.u. The value obtained for the density of states at the Fermi level is 5.05 states/eV per cell. As for the mass density: 4.87 g/cm³. As for the calculated total energy: -26.61 eV/cell.

Unit cell a=6.8424 b=6.8424 c=6.0676 alpha=90.00 beta=90.00 gamma=90.00
Sites, in units of the cell vectors:
Rb  0.6879  0.8121  0.5000
Ga  0.6409  0.1409  0.0000
Pd  0.5000  0.5000  0.0000
Rb  0.1879  0.6879  0.5000
Rb  0.8121  0.3121  0.5000
Ga  0.3591  0.8591  0.0000
Ga  0.8591  0.6409  0.0000
Rb  0.3121  0.1879  0.5000
Pd  0.0000  0.0000  0.0000
Ga  0.1409  0.3591  0.0000

=====

Record 10
The following is a DFT calculation (PBE) of crystalline Rb3GaPd at its relaxed geometry.

Values from the calculation:
Its space group is Pm-3m. As for the volume: 53.9 Å³ per atom. As for the calculated formation energy: 1.7 eV/f.u. The value obtained for the density of states at the Fermi level is 10.55 states/eV per cell. As for the mass density: 2.66 g/cm³. As for the calculated total energy: -9.40 eV/cell.

Unit cell a=6.4608 b=6.4608 c=6.4608 alpha=90.00 beta=90.00 gamma=90.00
Sites, in units of the cell vectors:
Rb  0.5000  0.0000  0.0000
Ga  0.5000  0.5000  0.5000
Rb  0.0000  0.0000  0.5000
Pd  0.0000  0.0000  0.0000
Rb  0.0000  0.5000  0.0000

=====

Record 11
The following is a DFT calculation (PBE) of crystalline RbGaPd2 at its relaxed geometry.

Values from the calculation:
Its space group is I4_1/amd. As for the volume: 30.1 Å³ per atom. As for the calculated formation energy: -0.5 eV/f.u. The value obtained for the density of states at the Fermi level is 2.73 states/eV per cell. As for the mass density: 5.08 g/cm³. As for the calculated total energy: -29.78 eV/cell.

Unit cell a=5.4136 b=5.4136 c=9.0540 alpha=72.60 beta=72.60 gamma=90.00
Sites, in units of the cell vectors:
Pd  0.8750  0.6254  0.7500
Ga  0.2500  0.7500  0.5000
Pd  0.3754  0.1250  0.2500
Ga  0.5000  0.5000  0.0000
Pd  0.3746  0.6250  0.2500
Rb  0.0000  0.0000  0.0000
Pd  0.3750  0.6246  0.7500
Rb  0.7500  0.2500  0.5000

=====

Record 12
The following is a DFT calculation (PBE) of crystalline RbGa2Pd at its relaxed geometry.

Values from the calculation:
Its space group is P4/mmm. As for the volume: 23.0 Å³ per atom. As for the calculated formation energy: -0.8 eV/f.u. The value obtained for the density of states at the Fermi level is 1.88 states/eV per cell. As for the mass density: 5.97 g/cm³. As for the calculated total energy: -12.97 eV/cell.

Unit cell a=3.3240 b=3.3240 c=8.3378 alpha=90.00 beta=90.00 gamma=90.00
Sites, in units of the cell vectors:
Pd  0.5000  0.5000  0.0000
Ga  0.0000  0.0000  0.8310
Ga  0.0000  0.0000  0.1690
Rb  0.5000  0.5000  0.5000

=====

Record 13
The following is a DFT calculation (PBE) of crystalline RbGa2Pd at its relaxed geometry.

Values from the calculation:
Its space group is I4_1/amd. As for the volume: 33.8 Å³ per atom. As for the calculated formation energy: -0.7 eV/f.u. The value obtained for the density of states at the Fermi level is 4.90 states/eV per cell. As for the mass density: 4.07 g/cm³. As for the calculated total energy: -25.80 eV/cell.

Unit cell a=6.0116 b=6.0116 c=8.6064 alpha=69.56 beta=69.56 gamma=90.00
Sites, in units of the cell vectors:
Ga  0.3750  0.1250  0.7500
Rb  0.2500  0.7500  0.5000
Pd  0.0000  0.0000  0.0000
Ga  0.8750  0.6250  0.2500
Pd  0.7500  0.2500  0.5000
Rb  0.5000  0.5000  0.0000
Ga  0.8750  0.1250  0.2500
Ga  0.8750  0.1250  0.7500

=====

Record 14
The following is a DFT calculation (PBE) of crystalline Rb2GaPd at its relaxed geometry.

Values from the calculation:
Its space group is I-42d. As for the volume: 49.3 Å³ per atom. As for the calculated formation energy: -0.3 eV/f.u. The value obtained for the density of states at the Fermi level is 5.19 states/eV per cell. As for the mass density: 2.92 g/cm³. As for the calculated total energy: -20.86 eV/cell.

Unit cell a=12.7768 b=12.7768 c=9.3520 alpha=46.91 beta=46.91 gamma=90.00
Sites, in units of the cell vectors:
Rb  0.8073  0.1250  0.2500
Rb  0.9427  0.6250  0.2500
Ga  0.5000  0.5000  0.0000
Rb  0.8750  0.0573  0.7500
Pd  0.7500  0.2500  0.5000
Rb  0.3750  0.1927  0.7500
Ga  0.2500  0.7500  0.5000
Pd  0.0000  0.0000  0.0000

=====

Record 15
The following is a DFT calculation (PBE) of crystalline Rb2GaPd2 at its relaxed geometry.

Values from the calculation:
Its space group is P4/mbm. As for the volume: 26.1 Å³ per atom. As for the calculated formation energy: -0.4 eV/f.u. The value obtained for the density of states at the Fermi level is 4.55 states/eV per cell. As for the mass density: 5.77 g/cm³. As for the calculated total energy: -31.42 eV/cell.

Unit cell a=6.7016 b=6.7016 c=5.8120 alpha=90.00 beta=90.00 gamma=90.00
Sites, in units of the cell vectors:
Pd  0.1454  0.3546  0.0000
Pd  0.3546  0.8546  0.0000
Rb  0.3209  0.1791  0.5000
Rb  0.1791  0.6791  0.5000
Pd  0.8546  0.6454  0.0000
Ga  0.5000  0.5000  0.0000
Pd  0.6454  0.1454  0.0000
Ga  0.0000  0.0000  0.0000
Rb  0.8209  0.3209  0.5000
Rb  0.6791  0.8209  0.5000

=====

Record 16
The following is a DFT calculation (PBE) of crystalline Rb2Ga2Pd at its relaxed geometry.

Values from the calculation:
Its space group is I4/mmm. As for the volume: 32.5 Å³ per atom. As for the calculated formation energy: 2.8 eV/f.u. The value obtained for the density of states at the Fermi level is 1.78 states/eV per cell. As for the mass density: 4.26 g/cm³. As for the calculated total energy: -10.36 eV/cell.

Unit cell a=4.6909 b=4.6909 c=8.0939 alpha=73.16 beta=73.16 gamma=90.00
Sites, in units of the cell vectors:
Rb  0.7500  0.2500  0.5000
Ga  0.5809  0.5809  0.8381
Pd  0.0000  0.0000  0.0000
Rb  0.2500  0.7500  0.5000
Ga  0.4191  0.4191  0.1619

=====

Record 17
The following is a DFT calculation (PBE) of crystalline RbGaPd3 at its relaxed geometry.

Values from the calculation:
Its space group is Pm-3m. As for the volume: 27.9 Å³ per atom. As for the calculated formation energy: 6.7 eV/f.u. The value obtained for the density of states at the Fermi level is 0.56 states/eV per cell. As for the mass density: 5.64 g/cm³. As for the calculated total energy: -12.92 eV/cell.

Unit cell a=5.1878 b=5.1878 c=5.1878 alpha=90.00 beta=90.00 gamma=90.00
Sites, in units of the cell vectors:
Pd  0.5000  0.0000  0.0000
Pd  0.0000  0.0000  0.5000
Rb  0.0000  0.0000  0.0000
Pd  0.0000  0.5000  0.0000
Ga  0.5000  0.5000  0.5000

=====

Record 18
The following is a DFT calculation (PBE) of crystalline RbGa2Pd at its relaxed geometry.

Values from the calculation:
Its space group is Fm-3m. As for the volume: 22.5 Å³ per atom. As for the calculated formation energy: 0.9 eV/f.u. The value obtained for the density of states at the Fermi level is 2.92 states/eV per cell. As for the mass density: 6.11 g/cm³. As for the calculated total energy: -11.36 eV/cell.

Unit cell a=5.0309 b=5.0309 c=5.0309 alpha=60.00 beta=60.00 gamma=60.00
Sites, in units of the cell vectors:
Ga  0.2500  0.2500  0.2500
Rb  0.0000  0.0000  0.0000
Ga  0.7500  0.7500  0.7500
Pd  0.5000  0.5000  0.5000

=====

Record 19
The following is a DFT calculation (PBE) of crystalline RbGa2Pd at its relaxed geometry.

Values from the calculation:
Its space group is R-3m. As for the volume: 27.2 Å³ per atom. As for the calculated formation energy: -1.3 eV/f.u. The value obtained for the density of states at the Fermi level is 2.28 states/eV per cell. As for the mass density: 5.06 g/cm³. As for the calculated total energy: -13.56 eV/cell.

Unit cell a=4.4150 b=4.4150 c=6.9255 alpha=71.41 beta=71.41 gamma=60.00
Sites, in units of the cell vectors:
Ga  0.3094  0.3094  0.0718
Pd  0.0000  0.0000  0.0000
Rb  0.5000  0.5000  0.5000
Ga  0.6906  0.6906  0.9282

=====

Record 20
The following is a DFT calculation (PBE) of crystalline RbGaPd3 at its relaxed geometry.

Values from the calculation:
Its space group is Pm-3m. As for the volume: 22.8 Å³ per atom. As for the calculated formation energy: 0.1 eV/f.u. The value obtained for the density of states at the Fermi level is 1.81 states/eV per cell. As for the mass density: 6.92 g/cm³. As for the calculated total energy: -19.49 eV/cell.

Unit cell a=4.8471 b=4.8471 c=4.8471 alpha=90.00 beta=90.00 gamma=90.00
Sites, in units of the cell vectors:
Pd  0.0000  0.5000  0.0000
Pd  0.5000  0.0000  0.0000
Ga  0.0000  0.0000  0.0000
Pd  0.0000  0.0000  0.5000
Rb  0.5000  0.5000  0.5000